BaSi2Ag: relaxed, PBE-GGA.

abc: 5.6688 5.6688 5.6688
angles: 139.58 111.97 82.22
Last column: nearest neighbours and their distance in Å.
Fractional coordinates of all 4 atoms:
Si1 0.7689 0.2689 0.5000  2 Si 2.37, 2 Ag 2.59
Si2 0.9247 0.9247 0.0000  2 Si 2.37
Ag1 0.5697 0.5697 0.0000  2 Si 2.59
Ba1 0.2367 0.7367 0.5000  4 Si 3.31-3.55, 4 Ag 3.45-3.48

Magnetization   0.000 μB per formula unit
Formation energy (no corrections)   0.096 eV per atom
Total energy   -3.809 eV/atom
Mass density   4.72 g cm⁻³